Record 1
Here is ZrNi2W after structural relaxation from the Alexandria database. Energies are from GGA-PBE.

Computed properties:
Energy above the most stable polymorph in this dataset   0.030 eV per atom
Uncorrected energy   -8.302 eV per atom
Calculated formation energy   -35.6 meV per atom

Unit cell a=5.6014 b=7.5206 c=2.7827 alpha=90.00 beta=90.14 gamma=90.00
Space group C2/m (No. 12)
One atom of each set of equivalent atoms:
1 Zr 0.0000 0.0000 0.0000 [2 per cell]
2 Ni 0.2500 0.2500 0.5000 [4 per cell]
3 W 0.0000 0.5000 0.0000 [2 per cell]



Record 2
Here is ZrNiW after structural relaxation from the Alexandria database. Energies are from GGA-PBE.

Computed properties:
Energy above the most stable polymorph in this dataset   0.500 eV per atom
Uncorrected energy   -8.650 eV per atom
Calculated formation energy   444.0 meV per atom

Unit cell a=6.0156 b=6.0156 c=6.0156 alpha=90.00 beta=90.00 gamma=90.00
Space group F-43m (No. 216)
One atom of each set of equivalent atoms:
1 Zr 0.0000 0.0000 0.0000 [4 per cell]
2 Ni 0.2500 0.2500 0.7500 [4 per cell]
3 W 0.0000 0.0000 0.5000 [4 per cell]



Record 3
Here is ZrNi2W after structural relaxation from the Alexandria database. Energies are from GGA-PBE.

Computed properties:
Energy above the most stable polymorph in this dataset   0.052 eV per atom
Uncorrected energy   -8.280 eV per atom
Calculated formation energy   -13.6 meV per atom

Unit cell a=3.9684 b=3.9684 c=3.7475 alpha=90.00 beta=90.00 gamma=90.00
Space group P4/mmm (No. 123)
One atom of each set of equivalent atoms:
1 Zr 0.0000 0.0000 0.0000 [1 per cell]
2 Ni 0.0000 0.5000 0.5000 [2 per cell]
3 W 0.5000 0.5000 0.0000 [1 per cell]



Record 4
Here is ZrNi2W after structural relaxation from the Alexandria database. Energies are from GGA-PBE.

Computed properties:
Energy above the most stable polymorph in this dataset   0.125 eV per atom
Uncorrected energy   -8.207 eV per atom
Calculated formation energy   59.0 meV per atom

Unit cell a=2.8210 b=4.5340 c=9.3109 alpha=90.00 beta=90.00 gamma=90.00
Space group Imm2 (No. 44)
One atom of each set of equivalent atoms:
1 Zr 0.0000 0.0000 0.0000 [2 per cell]
2 Ni 0.0000 0.0000 0.4833 [2 per cell]
3 Ni 0.0000 0.5000 0.7638 [2 per cell]
4 W 0.0000 0.5000 0.2242 [2 per cell]